A geometry-optimized La12Mg5Sc3 structure. Source: the Alexandria database, functional PBE.

Lattice parameters (Å, degrees): 16.359 16.359 16.359 109.47 109.47 109.47
Site moments in Bohr magnetons follow the coordinates.
Positions (direct):
1 Sc 0.750 0.375 0.125  0.36
2 Sc 0.875 0.750 0.125  0.36
3 Sc 0.375 0.750 0.625  0.36
4 Sc 0.250 0.125 0.375  0.36
5 Sc 0.875 0.125 0.250  0.36
6 Sc 0.375 0.625 0.250  0.36
7 Sc 0.625 0.375 0.750  0.36
8 Sc 0.125 0.875 0.750  0.36
9 Sc 0.750 0.875 0.625  0.36
10 Sc 0.625 0.250 0.375  0.36
11 Sc 0.125 0.250 0.875  0.36
12 Sc 0.250 0.625 0.875  0.36
13 Mg 0.125 0.375 0.250  0.00
14 Mg 0.000 0.500 0.000  0.00
15 Mg 0.000 0.000 0.000  0.00
16 Mg 0.375 0.250 0.125  0.00
17 Mg 0.500 0.000 0.500  0.00
18 Mg 0.500 0.500 0.000  0.00
19 Mg 0.125 0.750 0.375  0.00
20 Mg 0.750 0.125 0.875  0.00
21 Mg 0.750 0.625 0.375  0.00
22 Mg 0.375 0.125 0.750  0.00
23 Mg 0.625 0.875 0.250  0.00
24 Mg 0.500 0.500 0.500  0.00
25 Mg 0.500 0.000 0.000  0.00
26 Mg 0.000 0.000 0.500  0.00
27 Mg 0.250 0.375 0.625  0.00
28 Mg 0.250 0.875 0.125  0.00
29 Mg 0.000 0.500 0.500  0.00
30 Mg 0.875 0.250 0.625  0.00
31 Mg 0.625 0.750 0.875  0.00
32 Mg 0.875 0.625 0.750  0.00
33 La 0.730 0.138 0.070  0.16
34 La 0.340 0.570 0.432  0.16
35 La 0.930 0.362 0.270  0.16
36 La 0.570 0.230 0.138  0.16
37 La 0.592 0.730 0.660  0.16
38 La 0.930 0.568 0.160  0.16
39 La 0.340 0.770 0.408  0.16
40 La 0.068 0.908 0.138  0.16
41 La 0.568 0.930 0.660  0.16
42 La 0.730 0.592 0.160  0.16
43 La 0.770 0.430 0.362  0.16
44 La 0.840 0.932 0.070  0.16
45 La 0.138 0.730 0.570  0.16
46 La 0.362 0.432 0.092  0.16
47 La 0.092 0.932 0.362  0.16
48 La 0.408 0.138 0.568  0.16
49 La 0.092 0.160 0.230  0.16
50 La 0.430 0.660 0.068  0.16
51 La 0.840 0.908 0.270  0.16
52 La 0.138 0.408 0.068  0.16
53 La 0.362 0.930 0.770  0.16
54 La 0.568 0.638 0.408  0.16
55 La 0.932 0.840 0.570  0.16
56 La 0.770 0.340 0.908  0.16
57 La 0.432 0.362 0.592  0.16
58 La 0.068 0.160 0.430  0.16
59 La 0.230 0.660 0.092  0.16
60 La 0.160 0.092 0.730  0.16
61 La 0.638 0.070 0.230  0.16
62 La 0.862 0.592 0.932  0.16
63 La 0.570 0.340 0.932  0.16
64 La 0.592 0.862 0.432  0.16
65 La 0.908 0.840 0.770  0.16
66 La 0.908 0.068 0.638  0.16
67 La 0.862 0.270 0.430  0.16
68 La 0.160 0.068 0.930  0.16
69 La 0.638 0.568 0.908  0.16
70 La 0.432 0.070 0.340  0.16
71 La 0.270 0.408 0.840  0.16
72 La 0.230 0.570 0.638  0.16
73 La 0.932 0.092 0.862  0.16
74 La 0.660 0.230 0.592  0.16
75 La 0.430 0.770 0.862  0.16
76 La 0.070 0.432 0.840  0.16
77 La 0.408 0.270 0.340  0.16
78 La 0.070 0.638 0.730  0.16
79 La 0.660 0.430 0.568  0.16
80 La 0.270 0.862 0.930  0.16

Calculated values
Total energy in eV per formula unit: -72.8
Volume in Å³ per cell: 3370
Total magnetic moment in μB/atom: 0.28
ΔH_f (0 K) in eV/atom: 0.66